[1]
Material: Ba2Si2GeAu
Method: DFT, PBE
State: optimized geometry

It has space group Fmmm (No. 69), with a = 8.667 Å, b = 10.041 Å, c = 15.019 Å, α = 90.00°, β = 90.00° and γ = 90.00°. The inequivalent atoms are Ba at (0.000, 0.245, 0.000), Ba at (0.250, 0.250, 0.250), Si at (0.249, 0.000, 0.080), Ge at (0.000, 0.000, 0.162) and Au at (0.000, 0.000, 0.339).

---

[2]
Material: TlCu3S2
Method: DFT, PBE
State: optimized geometry

As for the distance to the lowest polymorph of the same formula: 0.000 eV/atom.

It has space group P-3m1 (No. 164), with a = 5.2087 Å, b = 5.2087 Å, c = 6.1145 Å, α = 90.00°, β = 90.00° and γ = 120.00°. The inequivalent atoms are Tl at (0.0000, 0.0000, 0.0000), Cu at (0.0000, 0.5000, 0.5000) and S at (0.3333, 0.6667, 0.7587).

---

[3]
Material: Cs2TcSe3
Method: DFT, PBE
State: optimized geometry

The magnetization is 0.038 μB per formula unit. As for the distance to the lowest polymorph of the same formula: 0.000 eV/atom.

It has space group Cmcm (No. 63), with a = 12.564 Å, b = 9.672 Å, c = 6.829 Å, α = 90.00°, β = 90.00° and γ = 90.00°. The inequivalent atoms are Cs at (0.159, 0.172, 0.250), Tc at (0.000, 0.402, 0.750), Se at (0.000, 0.156, 0.750) and Se at (0.121, 0.500, 0.000).

---

[4]
Material: Sr2Hg2GePb
Method: DFT, PBE
State: optimized geometry

It has space group P3m1 (No. 156), with a = 4.9590 Å, b = 4.9590 Å, c = 8.1966 Å, α = 90.00°, β = 90.00° and γ = 120.00°. The inequivalent atoms are Sr at (0.0000, 0.0000, 0.0000), Sr at (0.0000, 0.0000, 0.4808), Hg at (0.3333, 0.6667, 0.2726), Hg at (0.6667, 0.3333, 0.7973), Ge at (0.6667, 0.3333, 0.1968) and Pb at (0.3333, 0.6667, 0.7006).

---

[5]
Material: BeNb2Au
Method: DFT, PBE
State: optimized geometry

The magnetization is 0.623 μB per formula unit.

It has space group F-43m (No. 216), with a = 6.393 Å, b = 6.393 Å, c = 6.393 Å, α = 90.00°, β = 90.00° and γ = 90.00°. The inequivalent atoms are Be at (0.000, 0.000, 0.000), Nb at (0.000, 0.000, 0.500), Nb at (0.250, 0.250, 0.750) and Au at (0.250, 0.250, 0.250).

---

[6]
Material: LiTlFeIr
Method: DFT, PBE
State: optimized geometry

The magnetization is 3.128 μB per formula unit. As for the distance to the lowest polymorph of the same formula: 0.000 eV/atom.

It has space group F-43m (No. 216), with a = 6.211 Å, b = 6.211 Å, c = 6.211 Å, α = 90.00°, β = 90.00° and γ = 90.00°. The inequivalent atoms are Li at (0.000, 0.000, 0.000), Tl at (0.250, 0.250, 0.250), Fe at (0.000, 0.000, 0.500) and Ir at (0.250, 0.250, 0.750).

---

[7]
Material: ZnHgOs2
Method: DFT, PBE
State: optimized geometry

The magnetization is 0.042 μB per formula unit. As for the formation energy: 18.0 kcal/mol of atoms.

It has space group F-43m (No. 216), with a = 6.330 Å, b = 6.330 Å, c = 6.330 Å, α = 90.00°, β = 90.00° and γ = 90.00°. The inequivalent atoms are Zn at (0.000, 0.000, 0.000), Hg at (0.250, 0.250, 0.250), Os at (0.000, 0.000, 0.500) and Os at (0.250, 0.250, 0.750).

---

[8]
Material: HfIr2Au
Method: DFT, PBE
State: optimized geometry

The magnetization is 0.555 μB per formula unit. As for the formation energy: -3.6 kcal/mol of atoms.

It has space group F-43m (No. 216), with a = 6.464 Å, b = 6.464 Å, c = 6.464 Å, α = 90.00°, β = 90.00° and γ = 90.00°. The inequivalent atoms are Hf at (0.000, 0.000, 0.000), Ir at (0.000, 0.000, 0.500), Ir at (0.250, 0.250, 0.250) and Au at (0.250, 0.250, 0.750).

---

Number 1: DFT total energy -4.3478 eV per atom. Number 2: DFT total energy -3.8674 eV per atom. Number 3: DFT total energy -4.4866 eV per atom. Number 4: DFT total energy -2.5058 eV per atom. Number 5: DFT total energy -6.4379 eV per atom. Number 6: DFT total energy -5.2088 eV per atom. Number 7: DFT total energy -5.2214 eV per atom. Number 8: DFT total energy -7.8900 eV per atom.